# BTeRhAu | Alexandria via LeMat-Bulk | GGA-PBE | relaxed
# - Polymorph energy (0 for the lowest one): 0.041 eV per atom
# - Total moment: 0.000 μB/f.u.
# - Uncorrected formation energy: 0.12 eV per atom
data_BTeRhAu
_chemical_formula_sum 'B1 Te1 Rh1 Au1'
_cell_length_a 3.3194
_cell_length_b 3.4494
_cell_length_c 7.0909
_cell_angle_alpha 78.61
_cell_angle_beta 89.72
_cell_angle_gamma 61.57
_space_group_name_H-M_alt 'P 1'
_space_group_IT_number 1
loop_
_space_group_symop_operation_xyz
'x,y,z'
loop_
_atom_site_label
_atom_site_fract_x
_atom_site_fract_y
_atom_site_fract_z
B1 0.0000 0.0000 0.0000
Te1 0.7503 0.4915 0.4093
Rh1 0.3592 0.2813 0.1061
Au1 0.1318 0.7205 0.7371